## MgTlCr2 (GGA-PBE)

Data for an optimized crystal structure of MgTlCr2.

CIF file:
```
data_MgTlCr2
_symmetry_space_group_name_H-M 'P 1'
_symmetry_Int_Tables_number 1
_cell_length_a 2.965
_cell_length_b 4.743
_cell_length_c 5.153
_cell_angle_alpha 90.00
_cell_angle_beta 92.05
_cell_angle_gamma 90.00
loop_
_symmetry_equiv_pos_as_xyz
'x,y,z'
loop_
_atom_site_label
_atom_site_type_symbol
_atom_site_fract_x
_atom_site_fract_y
_atom_site_fract_z
_atom_site_occupancy
Mg1 Mg 0.000 0.000 0.000 1
Tl1 Tl 0.500 0.000 0.500 1
Cr1 Cr 0.332 0.500 0.833 1
Cr2 Cr 0.668 0.500 0.167 1
```

Properties
M_tot	0.01	μB/f.u.
energy of formation from the pure elements	2.69	eV/f.u.
electronic total energy	-5.13	eV/atom



## Pm5Sm2YEr (GGA-PBE)

Data for an optimized crystal structure of Pm5Sm2YEr.

CIF file:
```
data_Pm5Sm2YEr
_symmetry_space_group_name_H-M 'P 1'
_symmetry_Int_Tables_number 1
_cell_length_a 10.221
_cell_length_b 10.221
_cell_length_c 10.221
_cell_angle_alpha 129.88
_cell_angle_beta 129.88
_cell_angle_gamma 73.59
loop_
_symmetry_equiv_pos_as_xyz
'x,y,z'
loop_
_atom_site_label
_atom_site_type_symbol
_atom_site_fract_x
_atom_site_fract_y
_atom_site_fract_z
_atom_site_occupancy
Pm1 Pm 0.000 0.000 0.000 1
Pm2 Pm 0.072 0.572 0.927 1
Pm3 Pm 0.145 0.072 0.500 1
Pm4 Pm 0.355 0.855 0.927 1
Pm5 Pm 0.428 0.355 0.500 1
Pm6 Pm 0.500 0.500 0.000 1
Pm7 Pm 0.572 0.645 0.500 1
Pm8 Pm 0.645 0.145 0.073 1
Pm9 Pm 0.855 0.928 0.500 1
Pm10 Pm 0.928 0.428 0.073 1
Sm1 Sm 0.120 0.380 0.500 1
Sm2 Sm 0.380 0.880 0.260 1
Sm3 Sm 0.620 0.120 0.740 1
Sm4 Sm 0.880 0.620 0.500 1
Y1 Y 0.250 0.250 0.000 1
Y2 Y 0.750 0.750 0.000 1
Er1 Er 0.250 0.750 0.500 1
Er2 Er 0.750 0.250 0.500 1
```

Properties
M_tot	0.00	μB/f.u.
energy of formation from the pure elements	2.55	eV/f.u.
electronic total energy	-4.63	eV/atom



## HoErCoRh (GGA-PBE)

Data for an optimized crystal structure of HoErCoRh.

CIF file:
```
data_HoErCoRh
_symmetry_space_group_name_H-M 'P 1'
_symmetry_Int_Tables_number 1
_cell_length_a 3.344
_cell_length_b 3.344
_cell_length_c 6.794
_cell_angle_alpha 90.00
_cell_angle_beta 90.00
_cell_angle_gamma 90.00
loop_
_symmetry_equiv_pos_as_xyz
'x,y,z'
loop_
_atom_site_label
_atom_site_type_symbol
_atom_site_fract_x
_atom_site_fract_y
_atom_site_fract_z
_atom_site_occupancy
Ho1 Ho 0.000 0.000 0.000 1
Er1 Er 0.000 0.000 0.486 1
Co1 Co 0.500 0.500 0.244 1
Rh1 Rh 0.500 0.500 0.742 1
```

Properties
M_tot	0.46	μB/f.u.
energy of formation from the pure elements	-2.21	eV/f.u.
energy above the lowest structure with this stoichiometry	0.000	eV per atom
electronic total energy	-6.45	eV/atom



## Tb3IrRu (GGA-PBE)

Data for an optimized crystal structure of Tb3IrRu.

CIF file:
```
data_Tb3IrRu
_symmetry_space_group_name_H-M 'P 1'
_symmetry_Int_Tables_number 1
_cell_length_a 8.467
_cell_length_b 7.431
_cell_length_c 7.744
_cell_angle_alpha 90.00
_cell_angle_beta 102.59
_cell_angle_gamma 90.00
loop_
_symmetry_equiv_pos_as_xyz
'x,y,z'
loop_
_atom_site_label
_atom_site_type_symbol
_atom_site_fract_x
_atom_site_fract_y
_atom_site_fract_z
_atom_site_occupancy
Tb1 Tb 0.059 0.002 0.214 1
Tb2 Tb 0.059 0.498 0.714 1
Tb3 Tb 0.283 0.147 0.600 1
Tb4 Tb 0.283 0.353 0.100 1
Tb5 Tb 0.362 0.692 0.476 1
Tb6 Tb 0.362 0.808 0.976 1
Tb7 Tb 0.638 0.192 0.024 1
Tb8 Tb 0.638 0.308 0.524 1
Tb9 Tb 0.717 0.647 0.900 1
Tb10 Tb 0.717 0.853 0.400 1
Tb11 Tb 0.941 0.502 0.286 1
Tb12 Tb 0.941 0.998 0.786 1
Ir1 Ir 0.421 0.048 0.294 1
Ir2 Ir 0.421 0.452 0.794 1
Ir3 Ir 0.579 0.548 0.206 1
Ir4 Ir 0.579 0.952 0.706 1
Ru1 Ru 0.067 0.685 0.030 1
Ru2 Ru 0.067 0.815 0.530 1
Ru3 Ru 0.933 0.185 0.470 1
Ru4 Ru 0.933 0.315 0.970 1
```

Properties
M_tot	0.00	μB/f.u.
energy of formation from the pure elements	-2.54	eV/f.u.
energy above the lowest structure with this stoichiometry	0.000	eV per atom
electronic total energy	-6.91	eV/atom



## Hf2ScPt2 (GGA-PBE)

Data for an optimized crystal structure of Hf2ScPt2.

CIF file:
```
data_Hf2ScPt2
_symmetry_space_group_name_H-M 'P 1'
_symmetry_Int_Tables_number 1
_cell_length_a 7.607
_cell_length_b 7.607
_cell_length_c 3.399
_cell_angle_alpha 90.00
_cell_angle_beta 90.00
_cell_angle_gamma 90.00
loop_
_symmetry_equiv_pos_as_xyz
'x,y,z'
loop_
_atom_site_label
_atom_site_type_symbol
_atom_site_fract_x
_atom_site_fract_y
_atom_site_fract_z
_atom_site_occupancy
Hf1 Hf 0.165 0.335 0.000 1
Hf2 Hf 0.335 0.835 0.000 1
Hf3 Hf 0.665 0.165 0.000 1
Hf4 Hf 0.835 0.665 0.000 1
Sc1 Sc 0.000 0.000 0.500 1
Sc2 Sc 0.500 0.500 0.500 1
Pt1 Pt 0.134 0.634 0.500 1
Pt2 Pt 0.366 0.134 0.500 1
Pt3 Pt 0.634 0.866 0.500 1
Pt4 Pt 0.866 0.366 0.500 1
```

Properties
M_tot	0.00	μB/f.u.
energy of formation from the pure elements	-4.72	eV/f.u.
energy above the lowest structure with this stoichiometry	0.000	eV per atom
electronic total energy	-8.61	eV/atom



## LiScCd4 (GGA-PBE)

Data for an optimized crystal structure of LiScCd4.

CIF file:
```
data_LiScCd4
_symmetry_space_group_name_H-M 'P 1'
_symmetry_Int_Tables_number 1
_cell_length_a 5.274
_cell_length_b 5.274
_cell_length_c 8.654
_cell_angle_alpha 113.78
_cell_angle_beta 113.78
_cell_angle_gamma 35.21
loop_
_symmetry_equiv_pos_as_xyz
'x,y,z'
loop_
_atom_site_label
_atom_site_type_symbol
_atom_site_fract_x
_atom_site_fract_y
_atom_site_fract_z
_atom_site_occupancy
Li1 Li 0.000 0.000 0.000 1
Sc1 Sc 0.000 0.000 0.500 1
Cd1 Cd 0.334 0.334 0.161 1
Cd2 Cd 0.337 0.337 0.676 1
Cd3 Cd 0.663 0.663 0.324 1
Cd4 Cd 0.666 0.666 0.839 1
```

Properties
M_tot	0.00	μB/f.u.
energy of formation from the pure elements	-1.10	eV/f.u.
energy above the lowest structure with this stoichiometry	0.000	eV per atom
electronic total energy	-2.17	eV/atom



## TcNi6Mo2 (GGA-PBE)

Data for an optimized crystal structure of TcNi6Mo2.

CIF file:
```
data_TcNi6Mo2
_symmetry_space_group_name_H-M 'P 1'
_symmetry_Int_Tables_number 1
_cell_length_a 6.437
_cell_length_b 6.437
_cell_length_c 6.437
_cell_angle_alpha 141.76
_cell_angle_beta 135.62
_cell_angle_gamma 59.99
loop_
_symmetry_equiv_pos_as_xyz
'x,y,z'
loop_
_atom_site_label
_atom_site_type_symbol
_atom_site_fract_x
_atom_site_fract_y
_atom_site_fract_z
_atom_site_occupancy
Tc1 Tc 0.000 0.000 0.000 1
Ni1 Ni 0.128 0.392 0.735 1
Ni2 Ni 0.216 0.216 0.000 1
Ni3 Ni 0.343 0.608 0.735 1
Ni4 Ni 0.657 0.392 0.265 1
Ni5 Ni 0.784 0.784 0.000 1
Ni6 Ni 0.872 0.608 0.265 1
Mo1 Mo 0.367 0.867 0.500 1
Mo2 Mo 0.633 0.133 0.500 1
```

Properties
M_tot	0.00	μB/f.u.
energy of formation from the pure elements	1.62	eV/f.u.
electronic total energy	-7.23	eV/atom



## Cr3Ir2 (GGA-PBE)

Data for an optimized crystal structure of Cr3Ir2.

CIF file:
```
data_Cr3Ir2
_symmetry_space_group_name_H-M 'P 1'
_symmetry_Int_Tables_number 1
_cell_length_a 6.766
_cell_length_b 4.987
_cell_length_c 7.738
_cell_angle_alpha 59.67
_cell_angle_beta 39.51
_cell_angle_gamma 80.82
loop_
_symmetry_equiv_pos_as_xyz
'x,y,z'
loop_
_atom_site_label
_atom_site_type_symbol
_atom_site_fract_x
_atom_site_fract_y
_atom_site_fract_z
_atom_site_occupancy
Cr1 Cr 0.000 0.000 0.000 1
Cr2 Cr 0.250 0.250 0.250 1
Cr3 Cr 0.385 0.491 0.411 1
Cr4 Cr 0.491 0.385 0.712 1
Cr5 Cr 0.538 0.839 0.759 1
Cr6 Cr 0.839 0.538 0.865 1
Ir1 Ir 0.079 0.748 0.322 1
Ir2 Ir 0.399 0.928 0.502 1
Ir3 Ir 0.748 0.079 0.851 1
Ir4 Ir 0.928 0.399 0.171 1
```

Properties
M_tot	0.00	μB/f.u.
energy of formation from the pure elements	-0.10	eV/f.u.
energy above the lowest structure with this stoichiometry	0.000	eV per atom
electronic total energy	-9.34	eV/atom



## MoPtC3 (GGA-PBE)

Data for an optimized crystal structure of MoPtC3.

CIF file:
```
data_MoPtC3
_symmetry_space_group_name_H-M 'P 1'
_symmetry_Int_Tables_number 1
_cell_length_a 3.951
_cell_length_b 3.951
_cell_length_c 3.951
_cell_angle_alpha 90.00
_cell_angle_beta 90.00
_cell_angle_gamma 90.00
loop_
_symmetry_equiv_pos_as_xyz
'x,y,z'
loop_
_atom_site_label
_atom_site_type_symbol
_atom_site_fract_x
_atom_site_fract_y
_atom_site_fract_z
_atom_site_occupancy
Mo1 Mo 0.000 0.000 0.000 1
Pt1 Pt 0.500 0.500 0.500 1
C1 C 0.000 0.500 0.500 1
C2 C 0.500 0.000 0.500 1
C3 C 0.500 0.500 0.000 1
```

Properties
M_tot	0.00	μB/f.u.
energy of formation from the pure elements	13.08	eV/f.u.
energy above the lowest structure with this stoichiometry	0.373	eV per atom
electronic total energy	-6.29	eV/atom



## NbCuRh (GGA-PBE)

Data for an optimized crystal structure of NbCuRh.

CIF file:
```
data_NbCuRh
_symmetry_space_group_name_H-M 'P 1'
_symmetry_Int_Tables_number 1
_cell_length_a 6.291
_cell_length_b 6.291
_cell_length_c 3.936
_cell_angle_alpha 90.00
_cell_angle_beta 90.00
_cell_angle_gamma 144.94
loop_
_symmetry_equiv_pos_as_xyz
'x,y,z'
loop_
_atom_site_label
_atom_site_type_symbol
_atom_site_fract_x
_atom_site_fract_y
_atom_site_fract_z
_atom_site_occupancy
Nb1 Nb 0.092 0.908 0.750 1
Nb2 Nb 0.908 0.092 0.250 1
Cu1 Cu 0.248 0.752 0.250 1
Cu2 Cu 0.752 0.248 0.750 1
Rh1 Rh 0.417 0.583 0.750 1
Rh2 Rh 0.583 0.417 0.250 1
```

Properties
M_tot	0.00	μB/f.u.
energy of formation from the pure elements	-0.50	eV/f.u.
electronic total energy	-7.34	eV/atom